# 1
# LaTbInPd, optimized geometry, DFT PBE
data_LaTbInPd
_chemical_formula_sum 'La4 Tb4 In4 Pd4'
_cell_length_a 7.510
_cell_length_b 7.510
_cell_length_c 7.510
_cell_angle_alpha 90.00
_cell_angle_beta 90.00
_cell_angle_gamma 90.00
_space_group_name_H-M_alt 'F -4 3 m'
_space_group_IT_number 216
_space_group_name_Hall 'F -4 2 3'
loop_
_atom_site_label
_atom_site_type_symbol
_atom_site_fract_x
_atom_site_fract_y
_atom_site_fract_z
La1 La 0.000 0.000 0.000
Tb1 Tb 0.000 0.000 0.500
In1 In 0.250 0.250 0.750
Pd1 Pd 0.250 0.250 0.250
# DOS(E_F) ... 15.6 states/eV per cell
# E_form ... -0.550 eV/atom
# Total DFT energy (no corrections) ... -4.92 eV per atom
# Size of the total moment ... 0.000 μB/atom

# 2
# Pr6SiRu2I3, optimized geometry, DFT PBE
data_Pr6SiRu2I3
_chemical_formula_sum 'Pr12 Si2 Ru4 I6'
_cell_length_a 7.402
_cell_length_b 12.828
_cell_length_c 8.457
_cell_angle_alpha 90.00
_cell_angle_beta 107.14
_cell_angle_gamma 90.00
_space_group_name_H-M_alt 'C 1 2/m 1'
_space_group_IT_number 12
_space_group_name_Hall '-C 2y'
loop_
_atom_site_label
_atom_site_type_symbol
_atom_site_fract_x
_atom_site_fract_y
_atom_site_fract_z
Pr1 Pr 0.214 0.000 0.188
Pr2 Pr 0.236 0.326 0.188
Si1 Si 0.000 0.500 0.000
Ru1 Ru 0.000 0.167 0.000
I1 I 0.000 0.000 0.500
I2 I 0.000 0.336 0.500
# DOS(E_F) ... 20.2 states/eV per cell
# Total DFT energy (no corrections) ... -5.49 eV per atom
# Formation energy (no corrections) ... -0.714 eV per atom
# Size of the total moment ... 0.000 μB/atom

# 3
# Sm2TmSi, optimized geometry, DFT PBE
data_Sm2TmSi
_chemical_formula_sum 'Sm6 Tm3 Si3'
_cell_length_a 3.7434
_cell_length_b 3.7434
_cell_length_c 29.7811
_cell_angle_alpha 90.00
_cell_angle_beta 90.00
_cell_angle_gamma 120.00
_space_group_name_H-M_alt 'R -3 m'
_space_group_IT_number 166
_space_group_name_Hall '-R 3 2"'
loop_
_atom_site_label
_atom_site_type_symbol
_atom_site_fract_x
_atom_site_fract_y
_atom_site_fract_z
Sm1 Sm 0.0000 0.0000 0.2320
Tm1 Tm 0.0000 0.0000 0.0000
Si1 Si 0.0000 0.0000 0.5000
# DOS(E_F) ... 19.2 states/eV per cell
# Total DFT energy (no corrections) ... -4.93 eV per atom
# Formation energy (no corrections) ... -0.094 eV per atom
# Size of the total moment ... 0.177 μB/atom
# ΔE to the lowest computed polymorph ... 0.153 eV per atom

# 4
# In3Sn7Pb2, optimized geometry, DFT PBE
data_In3Sn7Pb2
_chemical_formula_sum 'In3 Sn7 Pb2'
_cell_length_a 5.974
_cell_length_b 3.359
_cell_length_c 17.285
_cell_angle_alpha 90.00
_cell_angle_beta 98.14
_cell_angle_gamma 90.00
_space_group_name_H-M_alt 'P 1 2/m 1'
_space_group_IT_number 10
_space_group_name_Hall '-P 2y'
loop_
_atom_site_label
_atom_site_type_symbol
_atom_site_fract_x
_atom_site_fract_y
_atom_site_fract_z
In1 In 0.000 0.000 0.000
In2 In 0.269 0.500 0.317
Sn1 Sn 0.109 0.500 0.836
Sn2 Sn 0.243 0.000 0.474
Sn3 Sn 0.399 0.000 0.158
Sn4 Sn 0.500 0.500 0.000
Pb1 Pb 0.237 0.000 0.665
# DOS(E_F) ... 6.0 states/eV per cell
# E_form ... 0.052 eV/atom
# Total DFT energy (no corrections) ... -3.59 eV per atom
# Size of the total moment ... 0.000 μB/atom

# 5
# RbLaMn2, optimized geometry, DFT PBE
data_RbLaMn2
_chemical_formula_sum 'Rb4 La4 Mn8'
_cell_length_a 5.383
_cell_length_b 5.383
_cell_length_c 19.808
_cell_angle_alpha 90.00
_cell_angle_beta 90.00
_cell_angle_gamma 90.00
_space_group_name_H-M_alt 'I 41/a m d'
_space_group_IT_number 141
loop_
_space_group_symop_operation_xyz
'x,y,z'
'-x,-y,-z'
'-y+1/4,x+3/4,z+1/4'
'y+1/4,-x+3/4,-z+1/4'
'-x+1/2,-y,z+1/2'
'x+1/2,y,-z+1/2'
'y+1/4,-x+1/4,z+3/4'
'-y+1/4,x+1/4,-z+3/4'
'x,-y,-z'
'-x,y,z'
'-y+1/4,-x+1/4,-z+3/4'
'y+1/4,x+1/4,z+3/4'
'-x+1/2,y,-z+1/2'
'x+1/2,-y,z+1/2'
'y+1/4,x+3/4,-z+1/4'
'-y+1/4,-x+3/4,z+1/4'
'x+1/2,y+1/2,z+1/2'
'-x+1/2,-y+1/2,-z+1/2'
'-y+3/4,x+1/4,z+3/4'
'y+3/4,-x+1/4,-z+3/4'
'-x,-y+1/2,z'
'x,y+1/2,-z'
'y+3/4,-x+3/4,z+1/4'
'-y+3/4,x+3/4,-z+1/4'
'x+1/2,-y+1/2,-z+1/2'
'-x+1/2,y+1/2,z+1/2'
'-y+3/4,-x+3/4,-z+1/4'
'y+3/4,x+3/4,z+1/4'
'-x,y+1/2,-z'
'x,-y+1/2,z'
'y+3/4,x+1/4,-z+3/4'
'-y+3/4,-x+1/4,z+3/4'
loop_
_atom_site_label
_atom_site_type_symbol
_atom_site_fract_x
_atom_site_fract_y
_atom_site_fract_z
Rb1 Rb 0.000 0.250 0.375
La1 La 0.000 0.250 0.875
Mn1 Mn 0.000 0.000 0.000
# DOS(E_F) ... 10.5 states/eV per cell
# E_form ... 1.054 eV/atom
# Total DFT energy (no corrections) ... -5.00 eV per atom
# Size of the total moment ... 1.684 μB/atom
# ΔE to the lowest computed polymorph ... 0.096 eV per atom

# 6
# BaMgMnSi2, optimized geometry, DFT PBE
data_BaMgMnSi2
_chemical_formula_sum 'Ba1 Mg1 Mn1 Si2'
_cell_length_a 4.605
_cell_length_b 4.605
_cell_length_c 5.505
_cell_angle_alpha 90.00
_cell_angle_beta 90.00
_cell_angle_gamma 90.00
_space_group_name_H-M_alt 'P 4/m m m'
_space_group_IT_number 123
_space_group_name_Hall '-P 4 2'
loop_
_atom_site_label
_atom_site_type_symbol
_atom_site_fract_x
_atom_site_fract_y
_atom_site_fract_z
Ba1 Ba 0.000 0.000 0.000
Mg1 Mg 0.500 0.500 0.000
Mn1 Mn 0.000 0.000 0.500
Si1 Si 0.000 0.500 0.500
# DOS(E_F) ... 2.4 states/eV per cell
# Total DFT energy (no corrections) ... -4.38 eV per atom
# Formation energy (no corrections) ... 0.322 eV per atom
# Size of the total moment ... 0.000 μB/atom
# ΔE to the lowest computed polymorph ... 0.473 eV per atom

# 7
# Li2RePb, optimized geometry, DFT PBE
data_Li2RePb
_chemical_formula_sum 'Li4 Re2 Pb2'
_cell_length_a 5.515
_cell_length_b 9.438
_cell_length_c 2.863
_cell_angle_alpha 90.00
_cell_angle_beta 110.14
_cell_angle_gamma 90.00
_space_group_name_H-M_alt 'C 1 2/m 1'
_space_group_IT_number 12
_space_group_name_Hall '-C 2y'
loop_
_atom_site_label
_atom_site_type_symbol
_atom_site_fract_x
_atom_site_fract_y
_atom_site_fract_z
Li1 Li 0.250 0.250 0.000
Re1 Re 0.000 0.000 0.500
Pb1 Pb 0.000 0.500 0.500
# DOS(E_F) ... 3.1 states/eV per cell
# E_form ... 0.459 eV/atom
# Total DFT energy (no corrections) ... -4.54 eV per atom
# Size of the total moment ... 0.000 μB/atom

# 8
# TbZr2Ag, optimized geometry, DFT PBE
data_TbZr2Ag
_chemical_formula_sum 'Tb3 Zr6 Ag3'
_cell_length_a 3.1252
_cell_length_b 3.1252
_cell_length_c 34.0378
_cell_angle_alpha 90.00
_cell_angle_beta 90.00
_cell_angle_gamma 120.00
_space_group_name_H-M_alt 'R -3 m'
_space_group_IT_number 166
_space_group_name_Hall '-R 3 2"'
loop_
_atom_site_label
_atom_site_type_symbol
_atom_site_fract_x
_atom_site_fract_y
_atom_site_fract_z
Tb1 Tb 0.0000 0.0000 0.0000
Zr1 Zr 0.0000 0.0000 0.0943
Ag1 Ag 0.0000 0.0000 0.5000
# DOS(E_F) ... 14.9 states/eV per cell
# E_form ... 0.322 eV/atom
# Total DFT energy (no corrections) ... -5.82 eV per atom
# Size of the total moment ... 0.000 μB/atom